No. 1
Compound: CsSnSb4
Source: Alexandria via LeMat-Bulk
Functional: PBE
Structure: relaxed Values from VASP.

VASP energy in eV/atom: -3.64
Formation energy without anion corrections in meV per atom: -80
Calculated volume in Å³ per cell: 447.2

Structure (Quantum ESPRESSO input):
```
&SYSTEM
  ibrav = 0, nat = 12, ntyp = 3
/
ATOMIC_SPECIES
Cs 132.91 Cs.upf
Sn 118.71 Sn.upf
Sb 121.76 Sb.upf
CELL_PARAMETERS angstrom
-5.440 4.507 2.581
1.606 -2.471 7.700
3.059 7.347 -2.694
ATOMIC_POSITIONS angstrom
Cs -1.826 6.039 6.732
Cs 1.050 3.345 0.854
Sn -0.169 0.162 4.501
Sn -0.606 9.222 3.085
Sb 0.041 3.016 5.373
Sb 0.437 7.658 -0.215
Sb 0.330 -0.507 1.581
Sb -2.151 3.170 3.299
Sb -0.816 6.368 2.214
Sb -1.213 1.726 7.801
Sb 1.276 -1.963 6.119
Sb 1.376 6.213 4.287
```

No. 2
Compound: CsSnSb2
Source: Alexandria via LeMat-Bulk
Functional: PBE
Structure: relaxed Values from VASP.

VASP energy in eV/atom: -3.49
Formation energy without anion corrections in meV per atom: -216
Calculated volume in Å³ per cell: 331.2

Structure (Quantum ESPRESSO input):
```
&SYSTEM
  ibrav = 0, nat = 8, ntyp = 3
/
ATOMIC_SPECIES
Cs 132.91 Cs.upf
Sn 118.71 Sn.upf
Sb 121.76 Sb.upf
CELL_PARAMETERS angstrom
5.989 0.084 -2.552
2.320 6.755 -0.989
-0.027 -0.042 8.238
ATOMIC_POSITIONS angstrom
Cs 1.147 1.668 5.234
Cs 7.135 5.129 -0.536
Sn 5.008 1.710 5.992
Sn 3.274 5.087 -1.295
Sb 6.528 5.932 3.424
Sb 4.423 4.243 4.321
Sb 1.753 0.865 1.273
Sb 3.859 2.554 0.376
```